# 1
Ni2HgGe2 (PBE, optimized geometry); energy above the lowest structure with this stoichiometry = 0.000 eV/atom; total moment = 0.00 μB/f.u.; symmetry = No. 127; final energy = -4.184 eV per atom; energy of formation = 0.18 eV/f.u.
1.0
7.1971 0.0000 0.0000
0.0000 7.1971 0.0000
0.0000 0.0000 3.0061
Ni Hg Ge
4 2 4
Direct
0.1339 0.3661 0.0000 Ni
0.3661 0.8661 0.0000 Ni
0.6339 0.1339 0.0000 Ni
0.8661 0.6339 0.0000 Ni
0.0000 0.0000 0.0000 Hg
0.5000 0.5000 0.0000 Hg
0.1523 0.6523 0.5000 Ge
0.3477 0.1523 0.5000 Ge
0.6523 0.8477 0.5000 Ge
0.8477 0.3477 0.5000 Ge


# 2
LaCr4 (PBE, optimized geometry); energy above the lowest structure with this stoichiometry = 0.282 eV/atom; total moment = 0.00 μB/f.u.; symmetry = No. 87; final energy = -7.958 eV per atom; energy of formation = 3.63 eV/f.u.
1.0
6.1809 0.0000 0.0000
0.0000 6.1809 0.0000
0.0000 0.0000 4.3837
La Cr
2 8
Direct
0.0000 0.0000 0.0000 La
0.5000 0.5000 0.5000 La
0.0403 0.6578 0.5000 Cr
0.1578 0.4597 0.0000 Cr
0.3422 0.0403 0.5000 Cr
0.4597 0.8422 0.0000 Cr
0.5403 0.1578 0.0000 Cr
0.6578 0.9597 0.5000 Cr
0.8422 0.5403 0.0000 Cr
0.9597 0.3422 0.5000 Cr


# 3
K2USbSe5 (PBE, optimized geometry); total moment = 0.99 μB/f.u.; symmetry = No. 36; final energy = -4.801 eV per atom; formation energy (no corrections) = -909 meV per atom
1.0
2.1822 -9.1039 0.0000
2.1822 9.1039 0.0000
0.0000 0.0000 15.0784
K U Sb Se
4 2 2 10
Direct
0.0962 0.9038 0.5000 K
0.1407 0.8593 0.1473 K
0.8593 0.1407 0.6473 K
0.9038 0.0962 0.0000 K
0.2158 0.7842 0.8708 U
0.7842 0.2158 0.3708 U
0.4628 0.5372 0.2746 Sb
0.5372 0.4628 0.7746 Sb
0.0676 0.9324 0.8983 Se
0.2758 0.7242 0.4875 Se
0.3136 0.6864 0.2491 Se
0.3566 0.6434 0.8293 Se
0.4969 0.5031 0.6138 Se
0.5031 0.4969 0.1138 Se
0.6434 0.3566 0.3293 Se
0.6864 0.3136 0.7491 Se
0.7242 0.2758 0.9875 Se
0.9324 0.0676 0.3983 Se


# 4
Ac4Zn5Ag2 (PBE, optimized geometry); total moment = 0.00 μB/f.u.; symmetry = No. 10; final energy = -2.777 eV per atom; energy of formation = -2.04 eV/f.u.
1.0
7.5244 0.0000 0.0000
0.0000 4.1973 0.0000
-0.6673 0.0000 9.6323
Ac Zn Ag
4 5 2
Direct
0.1909 0.0000 0.3830 Ac
0.2653 0.0000 0.9302 Ac
0.7346 0.0000 0.0698 Ac
0.8091 0.0000 0.6170 Ac
0.2057 0.5000 0.6573 Zn
0.4505 0.5000 0.2137 Zn
0.5000 0.5000 0.5000 Zn
0.5495 0.5000 0.7863 Zn
0.7943 0.5000 0.3427 Zn
0.0698 0.5000 0.1420 Ag
0.9302 0.5000 0.8580 Ag


# 5
Ca2NbSn (PBE, optimized geometry); total moment = 1.87 μB/f.u.; symmetry = No. 122; final energy = -4.016 eV per atom; energy of formation = 2.01 eV/f.u.
1.0
8.5523 0.0000 0.0000
0.0000 8.5523 0.0000
0.0000 0.0000 6.0438
Ca Nb Sn
8 4 4
Direct
0.2491 0.2500 0.1250 Ca
0.2500 0.7491 0.3750 Ca
0.2500 0.7509 0.8750 Ca
0.2509 0.2500 0.6250 Ca
0.7491 0.7500 0.6250 Ca
0.7500 0.2491 0.8750 Ca
0.7500 0.2509 0.3750 Ca
0.7509 0.7500 0.1250 Ca
0.0000 0.0000 0.5000 Nb
0.0000 0.5000 0.7500 Nb
0.5000 0.0000 0.2500 Nb
0.5000 0.5000 0.0000 Nb
0.0000 0.0000 0.0000 Sn
0.0000 0.5000 0.2500 Sn
0.5000 0.0000 0.7500 Sn
0.5000 0.5000 0.5000 Sn


# 6
Tm2Tl3 (PBE, optimized geometry); energy above the lowest structure with this stoichiometry = 0.000 eV/atom; total moment = 0.05 μB/f.u.; symmetry = No. 123; final energy = -3.422 eV per atom; energy of formation = -1.07 eV/f.u.
1.0
3.6511 0.0000 0.0000
0.0000 3.6511 0.0000
0.0000 0.0000 20.5729
Tm Tl
4 6
Direct
0.0000 0.0000 0.0980 Tm
0.0000 0.0000 0.2928 Tm
0.0000 0.0000 0.7072 Tm
0.0000 0.0000 0.9020 Tm
0.0000 0.0000 0.5000 Tl
0.5000 0.5000 0.0000 Tl
0.5000 0.5000 0.1951 Tl
0.5000 0.5000 0.3880 Tl
0.5000 0.5000 0.6120 Tl
0.5000 0.5000 0.8049 Tl


# 7
La2Hf2Co (PBE, optimized geometry); total moment = 0.00 μB/f.u.; symmetry = No. 127; final energy = -7.252 eV per atom; energy of formation = 0.61 eV/f.u.
1.0
6.7283 0.0000 0.0000
0.0000 6.7283 0.0000
0.0000 0.0000 5.5569
La Hf Co
4 4 2
Direct
0.1678 0.3322 0.0000 La
0.3322 0.8322 0.0000 La
0.6678 0.1678 0.0000 La
0.8322 0.6678 0.0000 La
0.1606 0.6606 0.5000 Hf
0.3394 0.1606 0.5000 Hf
0.6606 0.8394 0.5000 Hf
0.8394 0.3394 0.5000 Hf
0.0000 0.0000 0.5000 Co
0.5000 0.5000 0.5000 Co


# 8
SrNbAu (PBE, optimized geometry); energy above the lowest structure with this stoichiometry = 0.565 eV/atom; total moment = 0.00 μB/f.u.; symmetry = No. 63; final energy = -4.579 eV per atom; energy of formation = 1.29 eV/f.u.
1.0
4.6395 0.0000 0.0000
0.0000 10.3874 0.0000
0.0000 0.0000 6.2120
Sr Nb Au
4 4 4
Direct
0.0000 0.0000 0.0000 Sr
0.0000 0.0000 0.5000 Sr
0.5000 0.5000 0.0000 Sr
0.5000 0.5000 0.5000 Sr
0.0000 0.2932 0.2500 Nb
0.0000 0.7068 0.7500 Nb
0.5000 0.2068 0.7500 Nb
0.5000 0.7932 0.2500 Nb
0.0000 0.3233 0.7500 Au
0.0000 0.6767 0.2500 Au
0.5000 0.1767 0.2500 Au
0.5000 0.8233 0.7500 Au